Ac7La4Ho (PBE, optimized geometry); E_form = 0.092 eV per atom; calculated density = 7.7 g cm⁻³
1.0
6.160 -1.957 2.831
0.641 6.745 2.488
2.446 -2.489 12.260
La Ac Ho
4 7 1
Direct
0.557 0.384 0.735 La
0.443 0.616 0.265 La
0.436 0.862 0.725 La
0.564 0.138 0.275 La
0.801 0.722 0.378 Ac
0.054 0.790 0.589 Ac
0.500 0.000 0.000 Ac
0.199 0.278 0.622 Ac
0.169 0.489 0.068 Ac
0.946 0.210 0.411 Ac
0.831 0.511 0.932 Ac
0.000 0.000 0.000 Ho

***

Ac2La2Ho5 (PBE, optimized geometry); E_form = 0.168 eV per atom; calculated density = 8.0 g cm⁻³
1.0
-0.580 0.186 -3.542
-1.928 -12.474 1.485
-8.174 -5.621 1.044
Ho Ac La
5 2 2
Direct
0.170 0.340 0.519 Ho
0.671 0.343 0.199 Ho
0.830 0.660 0.481 Ho
0.000 0.000 0.000 Ho
0.329 0.657 0.801 Ho
0.834 0.667 0.114 Ac
0.166 0.333 0.886 Ac
0.493 0.986 0.323 La
0.507 0.014 0.677 La

***

Ac5La6Ho (PBE, optimized geometry); E_form = 0.030 eV per atom; calculated density = 7.4 g cm⁻³
1.0
-4.312 -0.885 3.195
6.570 -7.379 2.185
4.114 8.634 3.306
Ho La Ac
1 6 5
Direct
0.000 0.000 0.000 Ho
0.254 0.754 0.754 La
0.247 0.412 0.082 La
0.753 0.918 0.588 La
0.753 0.588 0.918 La
0.746 0.246 0.246 La
0.247 0.082 0.412 La
0.500 0.500 0.500 Ac
0.500 0.162 0.838 Ac
0.500 0.838 0.162 Ac
0.000 0.667 0.333 Ac
0.000 0.333 0.667 Ac

***

AcLaHo (PBE, optimized geometry); ΔE to the lowest computed polymorph = 0 meV/atom; E_form = 0.051 eV per atom; calculated density = 7.8 g cm⁻³
1.0
-1.081 1.744 3.208
-3.609 -0.003 -1.215
1.213 -7.790 2.384
Ac La Ho
1 1 1
Direct
0.003 0.003 0.006 Ac
0.327 0.327 0.653 La
0.670 0.670 0.341 Ho

***

Ac4La8Ho (PBE, optimized geometry); E_form = 0.466 eV per atom; calculated density = 6.4 g cm⁻³
1.0
-3.760 -11.184 0.984
9.734 3.502 5.760
-3.348 7.490 1.105
Ac La Ho
4 8 1
Direct
0.500 0.000 0.000 Ac
0.000 0.500 0.000 Ac
0.500 0.500 0.000 Ac
0.000 0.000 0.000 Ac
0.015 0.764 0.779 La
0.478 0.239 0.717 La
0.529 0.764 0.779 La
0.015 0.251 0.779 La
0.471 0.236 0.221 La
0.522 0.761 0.283 La
0.985 0.236 0.221 La
0.985 0.749 0.221 La
0.000 0.500 0.500 Ho

***

Ac5La8Ho (PBE, optimized geometry); E_form = 0.120 eV per atom; calculated density = 7.3 g cm⁻³
1.0
8.074 0.023 -3.069
-3.957 7.227 -3.061
-0.009 0.112 9.370
La Ac Ho
8 5 1
Direct
0.114 0.743 0.501 La
0.528 0.597 0.295 La
0.831 0.344 0.330 La
0.569 0.364 0.902 La
0.122 0.734 0.185 La
0.043 0.067 0.619 La
0.519 0.854 0.726 La
0.282 0.321 0.452 La
0.331 0.042 0.034 Ac
0.823 0.645 0.731 Ac
0.990 0.250 0.998 Ac
0.760 0.883 0.140 Ac
0.606 0.107 0.504 Ac
0.230 0.549 0.832 Ho

***

AcLa6Ho12 (PBE, optimized geometry); E_form = 0.211 eV per atom; calculated density = 7.6 g cm⁻³
1.0
-3.622 3.413 -7.326
-7.203 -0.204 5.148
3.801 7.324 3.215
Ho La Ac
12 6 1
Direct
0.644 0.644 0.921 Ho
0.755 0.500 0.245 Ho
0.500 0.245 0.755 Ho
0.079 0.356 0.356 Ho
0.356 0.079 0.356 Ho
0.921 0.644 0.644 Ho
0.245 0.500 0.755 Ho
0.755 0.245 0.500 Ho
0.644 0.921 0.644 Ho
0.500 0.755 0.245 Ho
0.245 0.755 0.500 Ho
0.356 0.356 0.079 Ho
0.649 0.101 0.101 La
0.351 0.899 0.899 La
0.899 0.899 0.351 La
0.101 0.101 0.649 La
0.899 0.351 0.899 La
0.101 0.649 0.101 La
0.000 0.000 0.000 Ac

***

Ac2La4Ho3 (PBE, optimized geometry); E_form = 0.139 eV per atom; calculated density = 7.5 g cm⁻³
1.0
-0.183 4.605 -5.306
-2.410 -6.595 -0.296
-6.158 3.606 5.324
Ho La Ac
3 4 2
Direct
0.500 0.000 0.000 Ho
0.000 0.500 0.000 Ho
0.000 0.000 0.000 Ho
0.039 0.334 0.373 La
0.334 0.039 0.373 La
0.961 0.666 0.627 La
0.666 0.961 0.627 La
0.615 0.615 0.230 Ac
0.385 0.385 0.770 Ac

***

AcLa8Ho4 (PBE, optimized geometry); E_form = 0.202 eV per atom; calculated density = 7.0 g cm⁻³
1.0
-1.317 1.284 -7.040
4.580 -5.313 1.935
-8.522 -5.781 4.300
Ho La Ac
4 8 1
Direct
0.500 0.500 0.000 Ho
0.500 0.000 0.000 Ho
0.000 0.500 0.000 Ho
0.000 0.000 0.000 Ho
0.965 0.206 0.724 La
0.582 0.791 0.373 La
0.035 0.241 0.276 La
0.035 0.794 0.276 La
0.965 0.759 0.724 La
0.418 0.209 0.627 La
0.482 0.241 0.276 La
0.518 0.759 0.724 La
0.000 0.500 0.500 Ac

***

AcLa4Ho15 (PBE, optimized geometry); E_form = 0.040 eV per atom; calculated density = 8.2 g cm⁻³
1.0
5.105 0.000 0.000
0.000 5.105 0.000
0.000 0.000 25.237
Ho Ac La
15 1 4
Direct
0.500 0.500 0.000 Ho
0.500 0.500 0.202 Ho
0.500 0.000 0.699 Ho
0.500 0.000 0.897 Ho
0.500 0.000 0.500 Ho
0.500 0.000 0.103 Ho
0.500 0.000 0.301 Ho
0.000 0.500 0.500 Ho
0.500 0.500 0.401 Ho
0.000 0.500 0.699 Ho
0.000 0.500 0.301 Ho
0.000 0.500 0.897 Ho
0.500 0.500 0.599 Ho
0.000 0.500 0.103 Ho
0.500 0.500 0.798 Ho
0.000 0.000 0.000 Ac
0.000 0.000 0.599 La
0.000 0.000 0.798 La
0.000 0.000 0.202 La
0.000 0.000 0.401 La

***

AcLa6Ho5 (PBE, optimized geometry); E_form = 0.025 eV per atom; calculated density = 7.5 g cm⁻³
1.0
5.793 -0.802 -2.543
-4.082 8.698 1.253
-1.462 1.716 9.424
La Ho Ac
6 5 1
Direct
0.257 0.086 0.422 La
0.239 0.747 0.747 La
0.743 0.578 0.914 La
0.743 0.914 0.578 La
0.257 0.422 0.086 La
0.761 0.253 0.253 La
0.000 0.663 0.337 Ho
0.500 0.171 0.829 Ho
0.500 0.500 0.500 Ho
0.500 0.829 0.171 Ho
0.000 0.337 0.663 Ho
0.000 0.000 0.000 Ac

***

Ac5LaHo (PBE, optimized geometry); E_form = 0.846 eV per atom; calculated density = 6.1 g cm⁻³
1.0
-3.957 4.611 1.171
-6.395 0.147 -5.851
-7.417 -3.051 3.292
Ac Ho La
5 1 1
Direct
0.000 0.686 0.314 Ac
0.249 0.751 0.751 Ac
0.000 0.314 0.686 Ac
0.500 0.000 0.000 Ac
0.751 0.249 0.249 Ac
0.000 0.000 0.000 Ho
0.500 0.500 0.500 La